# 1
Computed, not measured: Pm4YTm7 after structural relaxation at the GGA-PBE level of DFT.

a b c (Å): 6.817 8.667 8.948
angles (deg): 85.16 96.00 48.21
Fractional coordinates of all 12 atoms:
Pm  0.560  0.637  0.290
Pm  0.440  0.363  0.710
Pm  0.779  0.835  0.690
Pm  0.221  0.165  0.310
Y  0.000  0.000  0.000
Tm  0.734  0.514  0.953
Tm  0.266  0.486  0.047
Tm  0.974  0.318  0.648
Tm  0.026  0.682  0.352
Tm  0.291  0.814  0.620
Tm  0.500  0.000  0.000
Tm  0.709  0.186  0.380

Summary:
**Relative energy among the computed polymorphs**: 0 meV/atom
**E**: -55.7 eV/cell
**Calculated density**: 8.0 g/cm3
**ΔH_f (0 K)**: 1.0 eV per formula unit

***

# 2
Computed, not measured: Pm5Y2Tm2 after structural relaxation at the GGA-PBE level of DFT.

a b c (Å): 11.943 6.722 10.139
angles (deg): 109.36 126.08 90.00
Fractional coordinates of all 18 atoms:
Pm  0.181  0.666  0.902
Pm  0.819  0.764  0.098
Pm  0.221  0.166  0.902
Pm  0.779  0.264  0.098
Pm  0.369  0.034  0.289
Pm  0.631  0.745  0.711
Pm  0.420  0.534  0.289
Pm  0.580  0.245  0.711
Pm  0.019  0.650  0.500
Pm  0.981  0.150  0.500
Y  0.141  0.671  0.258
Y  0.859  0.413  0.742
Y  0.617  0.171  0.258
Y  0.383  0.913  0.742
Tm  0.000  0.061  0.000
Tm  0.500  0.561  0.000
Tm  0.246  0.332  0.500
Tm  0.754  0.832  0.500

Summary:
**Relative energy among the computed polymorphs**: 65 meV/atom
**E**: -87.3 eV/cell
**Calculated density**: 6.9 g/cm3
**ΔH_f (0 K)**: 2.0 eV per formula unit

***

# 3
Computed, not measured: Pm2YTm4 after structural relaxation at the GGA-PBE level of DFT.

a b c (Å): 8.703 6.601 10.036
angles (deg): 121.18 103.94 99.05
Fractional coordinates of all 14 atoms:
Pm  0.464  0.087  0.870
Pm  0.427  0.220  0.591
Pm  0.798  0.188  0.477
Pm  0.300  0.540  0.125
Y  0.775  0.446  0.253
Y  0.979  0.022  0.006
Tm  0.851  0.384  0.884
Tm  0.183  0.605  0.799
Tm  0.659  0.720  0.621
Tm  0.196  0.524  0.440
Tm  0.392  0.124  0.213
Tm  0.618  0.755  0.014
Tm  0.062  0.992  0.671
Tm  0.047  0.893  0.286

Summary:
**Relative energy among the computed polymorphs**: 11 meV/atom
**E**: -66.5 eV/cell
**Calculated density**: 7.8 g/cm3
**ΔH_f (0 K)**: 0.6 eV per formula unit